Computed, not measured: a geometry-optimized TbDy12Y7 structure at the PBE level of DFT.

Structure (CIF):
```
data_TbDy12Y7
_chemical_formula_sum 'Tb2 Dy24 Y14'
_symmetry_space_group_name_H-M 'I m -3 m'
_symmetry_Int_Tables_number 229
_symmetry_space_group_name_Hall '-I 4 2 3'
_cell_length_a 11.251
_cell_length_b 11.251
_cell_length_c 11.251
_cell_angle_alpha 90.00
_cell_angle_beta 90.00
_cell_angle_gamma 90.00
loop_
_atom_site_label
_atom_site_fract_x
_atom_site_fract_y
_atom_site_fract_z
Tb1 0.000 0.000 0.000
Dy1 0.000 0.249 0.249
Y1 0.000 0.000 0.500
Y2 0.250 0.250 0.250
```

## Properties
As for the volume: 35.6 Å³/atom. The value obtained for the density of states at the Fermi level is 1.2427 states/eV per atom. The formation enthalpy at 0 K comes out at 0.729 eV/atom. Its energy above the most stable polymorph in this dataset is 426 meV/atom.